No. 1
Entry from the Alexandria database: a geometry-optimized InBr2O structure (PBE).

a b c (Å): 12.950 3.940 10.840
angles (deg): 90.00 122.38 90.00
Atoms (fractional coordinates):
In (0.137, 0.000, 0.477)
In (0.363, 0.500, 0.523)
In (0.637, 0.500, 0.477)
In (0.863, 0.000, 0.523)
Br (0.047, 0.500, 0.128)
Br (0.111, 0.000, 0.703)
Br (0.389, 0.500, 0.297)
Br (0.453, 0.000, 0.872)
Br (0.547, 0.000, 0.128)
Br (0.611, 0.500, 0.703)
Br (0.889, 0.000, 0.297)
Br (0.953, 0.500, 0.872)
O (0.163, 0.500, 0.425)
O (0.337, 0.000, 0.575)
O (0.663, 0.000, 0.425)
O (0.837, 0.500, 0.575)

Properties
- Raw formation energy: -80 kJ/mol of atoms
- Energy relative to the lowest polymorph listed for this composition: 0.01 eV/f.u.
- Density: 4.13 g cm⁻³
- Space group: No. 12
- Spin magnetization: 0.00 μB per formula unit


No. 2
Entry from the Alexandria database: a geometry-optimized RbBSb2I structure (PBE).

a b c (Å): 7.532 7.532 6.788
angles (deg): 90.00 90.00 90.00
Atoms (fractional coordinates):
Rb (0.000, 0.000, 0.000)
B (0.500, 0.500, 0.500)
Sb (0.000, 0.500, 0.000)
Sb (0.500, 0.000, 0.000)
I (0.000, 0.000, 0.500)

Properties
- DOS at the Fermi energy: 2.936 states/eV per cell
- Raw formation energy: 175 kJ/mol of atoms
- Energy relative to the lowest polymorph listed for this composition: 7.55 eV/f.u.
- Density: 2.01 g cm⁻³
- Space group: No. 123
- Spin magnetization: 5.00 μB per formula unit


No. 3
Entry from the Alexandria database: a geometry-optimized Pr8Dy4Mg structure (PBE).

a b c (Å): 10.938 10.938 10.938
angles (deg): 38.62 38.62 38.62
Atoms (fractional coordinates):
Pr (0.220, 0.220, 0.220)
Pr (0.230, 0.745, 0.745)
Pr (0.255, 0.255, 0.770)
Pr (0.255, 0.770, 0.255)
Pr (0.745, 0.230, 0.745)
Pr (0.745, 0.745, 0.230)
Pr (0.770, 0.255, 0.255)
Pr (0.780, 0.780, 0.780)
Dy (0.000, 0.000, 0.000)
Dy (0.000, 0.500, 0.500)
Dy (0.500, 0.000, 0.500)
Dy (0.500, 0.500, 0.000)
Mg (0.500, 0.500, 0.500)

Properties
- DOS at the Fermi energy: 16.088 states/eV per cell
- Density: 6.53 g cm⁻³
- Space group: No. 166
- Formation enthalpy at 0 K: 2.05 eV/f.u.
- Spin magnetization: 0.00 μB per formula unit


No. 4
Entry from the Alexandria database: a geometry-optimized Ag5W structure (PBE).

a b c (Å): 5.391 5.391 5.391
angles (deg): 60.00 60.00 60.00
Atoms (fractional coordinates):
Ag (0.000, 0.000, 0.000)
Ag (0.375, 0.375, 0.375)
Ag (0.375, 0.375, 0.875)
Ag (0.375, 0.875, 0.375)
Ag (0.875, 0.375, 0.375)
W (0.750, 0.750, 0.750)

Properties
- DOS at the Fermi energy: 3.996 states/eV per cell
- Energy relative to the lowest polymorph listed for this composition: 2.14 eV/f.u.
- Density: 10.84 g cm⁻³
- Space group: No. 216
- Formation enthalpy at 0 K: 4.72 eV/f.u.
- Spin magnetization: 2.82 μB per formula unit


No. 5
Entry from the Alexandria database: a geometry-optimized La2MgSn3Ir4 structure (PBE).

a b c (Å): 4.378 4.378 11.421
angles (deg): 90.00 90.00 90.00
Atoms (fractional coordinates):
La (0.000, 0.500, 0.249)
La (0.500, 0.000, 0.751)
Mg (0.000, 0.000, 0.500)
Sn (0.000, 0.500, 0.871)
Sn (0.500, 0.000, 0.129)
Sn (0.500, 0.500, 0.500)
Ir (0.000, 0.000, 0.000)
Ir (0.000, 0.500, 0.640)
Ir (0.500, 0.000, 0.360)
Ir (0.500, 0.500, 0.000)

Properties
- DOS at the Fermi energy: 6.319 states/eV per cell
- Density: 10.83 g cm⁻³
- Space group: No. 115
- Formation enthalpy at 0 K: -5.90 eV/f.u.
- Spin magnetization: 0.00 μB per formula unit


No. 6
Entry from the Alexandria database: a geometry-optimized PuZn2Au8 structure (PBE).

a b c (Å): 7.530 7.530 4.736
angles (deg): 104.73 104.73 114.35
Atoms (fractional coordinates):
Pu (0.000, 0.000, 0.000)
Zn (0.320, 0.680, 0.500)
Zn (0.680, 0.320, 0.500)
Au (0.068, 0.326, 0.632)
Au (0.233, 0.767, 0.000)
Au (0.326, 0.068, 0.632)
Au (0.401, 0.401, 0.172)
Au (0.599, 0.599, 0.828)
Au (0.674, 0.932, 0.368)
Au (0.767, 0.233, 0.000)
Au (0.932, 0.674, 0.368)

Properties
- DOS at the Fermi energy: 17.235 states/eV per cell
- Energy relative to the lowest polymorph listed for this composition: 0.45 eV/f.u.
- Density: 14.99 g cm⁻³
- Space group: No. 12
- Formation enthalpy at 0 K: -1.72 eV/f.u.
- Spin magnetization: 5.31 μB per formula unit


Question: Look up the spin magnetization of the fifth one.
Answer: 0.00 μB per formula unit